Record 1
{
  "formula": "FeRuRh2",
  "functional": "GGA-PBE",
  "state": "relaxed",
  "lattice_angstrom": [[8.798, -0.010, -0.006], [8.384, 2.665, -0.006], [8.384, 1.295, 2.329]],
  "species": ["Fe", "Rh", "Ru", "Rh"],
  "fractional_positions": [[0.750, 0.750, 0.750], [0.003, 0.003, 0.003], [0.498, 0.498, 0.498], [0.248, 0.248, 0.248]],
  "dos_at_fermi_per_ev_fu": 6.22,
  "energy_ev_per_atom": -8.027,
  "magmom_total_mub_per_fu": 3.496,
  "e_form_ev_per_atom": 0.0834
}

=====

Record 2
{
  "formula": "ScNi2B4",
  "functional": "GGA-PBE",
  "state": "relaxed",
  "lattice_angstrom": [[-2.163, -1.371, -1.632], [-1.004, -1.593, 2.669], [-2.372, 6.167, 0.791]],
  "species": ["Ni", "B", "Sc", "B", "B", "Ni", "B"],
  "fractional_positions": [[0.810, 0.810, 0.619], [0.647, 0.647, 0.293], [0.500, 0.000, 0.000], [0.926, 0.426, 0.851], [0.074, 0.574, 0.149], [0.190, 0.190, 0.381], [0.353, 0.353, 0.707]],
  "dos_at_fermi_per_ev_fu": 3.67,
  "energy_ev_per_atom": -6.825,
  "magmom_total_mub_per_fu": 0.000,
  "e_form_ev_per_atom": -0.4535
}

=====

Record 3
{
  "formula": "Ce8Ge2Pt",
  "functional": "GGA-PBE",
  "state": "relaxed",
  "lattice_angstrom": [[-1.959, -2.324, 3.888], [-0.901, -6.190, -4.154], [8.077, 1.464, 1.813]],
  "species": ["Ce", "Ce", "Pt", "Ce", "Ge", "Ce", "Ce", "Ce", "Ce", "Ce", "Ge"],
  "fractional_positions": [[0.792, 0.722, 0.584], [0.565, 0.431, 0.129], [0.500, 0.000, 0.000], [0.989, 0.228, 0.977], [0.830, 0.355, 0.660], [0.677, 0.922, 0.354], [0.208, 0.278, 0.416], [0.435, 0.569, 0.871], [0.323, 0.078, 0.646], [0.011, 0.772, 0.023], [0.170, 0.645, 0.340]],
  "dos_at_fermi_per_ev_fu": 29.37,
  "energy_ev_per_atom": -6.148,
  "magmom_total_mub_per_fu": 2.960,
  "e_form_ev_per_atom": -0.4435
}

=====

Record 4
{
  "formula": "Y5MgIn6",
  "functional": "GGA-PBE",
  "state": "relaxed",
  "lattice_angstrom": [[-0.356, -0.685, -5.225], [7.236, 1.704, -0.717], [-1.538, -8.175, 3.939]],
  "species": ["In", "In", "In", "In", "Y", "In", "Y", "Y", "Mg", "Y", "Y", "In"],
  "fractional_positions": [[0.836, 0.082, 0.674], [0.500, 0.243, 0.000], [0.164, 0.918, 0.326], [0.164, 0.408, 0.326], [0.668, 0.667, 0.334], [0.836, 0.592, 0.674], [0.332, 0.333, 0.666], [0.665, 0.164, 0.329], [0.000, 0.000, 0.000], [0.335, 0.836, 0.671], [0.000, 0.500, 0.000], [0.500, 0.757, 0.000]],
  "dos_at_fermi_per_ev_fu": 7.22,
  "energy_ev_per_atom": -4.632,
  "magmom_total_mub_per_fu": 0.000,
  "e_form_ev_per_atom": -0.4368
}

=====

Record 5
{
  "formula": "Hf2NpBe",
  "functional": "GGA-PBE",
  "state": "relaxed",
  "lattice_angstrom": [[-4.302, -1.770, -1.062], [-0.514, -2.958, -3.709], [-0.929, -4.621, 0.744]],
  "species": ["Hf", "Np", "Be", "Hf"],
  "fractional_positions": [[0.250, 0.250, 0.250], [0.000, 0.000, 0.000], [0.500, 0.500, 0.500], [0.750, 0.750, 0.750]],
  "dos_at_fermi_per_ev_fu": 10.59,
  "energy_ev_per_atom": -8.622,
  "magmom_total_mub_per_fu": 4.381,
  "e_form_ev_per_atom": 0.5217
}

=====

Record 6
{
  "formula": "Cu2TcNi",
  "functional": "GGA-PBE",
  "state": "relaxed",
  "lattice_angstrom": [[-3.114, -2.317, 3.215], [0.293, -5.011, 0.456], [2.110, 4.552, 0.476]],
  "species": ["Cu", "Ni", "Cu", "Tc"],
  "fractional_positions": [[0.746, 0.246, 0.500], [0.505, 0.505, 0.000], [0.991, 0.991, 0.000], [0.258, 0.758, 0.500]],
  "dos_at_fermi_per_ev_fu": 4.44,
  "e_above_lowest_polymorph_ev_per_atom": 0.212,
  "energy_ev_per_atom": -5.822,
  "magmom_total_mub_per_fu": 1.068,
  "e_form_ev_per_atom": 0.2632
}

=====

Record 7
{
  "formula": "Ho2Th2Co3",
  "functional": "GGA-PBE",
  "state": "relaxed",
  "lattice_angstrom": [[-2.670, 2.823, 0.132], [-1.160, -3.514, -5.561], [-3.649, -3.658, 4.359]],
  "species": ["Co", "Co", "Ho", "Th", "Th", "Ho", "Co"],
  "fractional_positions": [[0.240, 0.482, 0.743], [0.000, 0.000, 0.000], [0.868, 0.739, 0.633], [0.372, 0.743, 0.114], [0.628, 0.257, 0.886], [0.132, 0.261, 0.367], [0.760, 0.518, 0.257]],
  "dos_at_fermi_per_ev_fu": 4.89,
  "e_above_lowest_polymorph_ev_per_atom": 0.048,
  "energy_ev_per_atom": -6.655,
  "magmom_total_mub_per_fu": 0.000,
  "e_form_ev_per_atom": -0.1819
}

=====

Record 8
{
  "formula": "Ti3TcAs",
  "functional": "GGA-PBE",
  "state": "relaxed",
  "lattice_angstrom": [[4.679, 0.000, 0.000], [0.000, 4.679, 0.000], [0.000, 0.000, 4.679]],
  "species": ["Ti", "Ti", "As", "Tc", "Ti"],
  "fractional_positions": [[0.000, 0.500, 0.000], [0.000, 0.000, 0.500], [0.500, 0.500, 0.500], [0.000, 0.000, 0.000], [0.500, 0.000, 0.000]],
  "dos_at_fermi_per_ev_fu": 6.82,
  "e_above_lowest_polymorph_ev_per_atom": 0.000,
  "energy_ev_per_atom": -7.302,
  "magmom_total_mub_per_fu": 1.106,
  "e_form_ev_per_atom": 0.4383
}